DFT (GGA-PBE) results for a relaxed structure of PmNd2Rh.

The structure belongs to space group Pnma (No. 62); the cell edges are 7.339, 9.969 and 6.464 Å and the angles 90.00°, 90.00° and 90.00°. The inequivalent atoms are Pm at (0.036, 0.250, 0.147), Nd at (0.176, 0.066, 0.669) and Rh at (0.122, 0.750, 0.436).

The magnetic moment comes out at 0.00 μB per formula unit. The formation energy is -0.4281 eV per atom.